Record 1
The following is a DFT calculation (GGA-PBEsol) of a geometry-optimized Zr3HgRh structure.

The structure in CIF format:
```
data_Zr3HgRh
_cell_length_a 4.9326
_cell_length_b 4.9326
_cell_length_c 4.9326
_cell_angle_alpha 90.00
_cell_angle_beta 90.00
_cell_angle_gamma 90.00
_space_group_name_H-M_alt 'P m -3 m'
_space_group_IT_number 221
_space_group_name_Hall '-P 4 2 3'
loop_
_atom_site_label
_atom_site_fract_x
_atom_site_fract_y
_atom_site_fract_z
Zr1 0.0000 0.0000 0.5000
Hg1 0.5000 0.5000 0.5000
Rh1 0.0000 0.0000 0.0000
```

Total moment = 0.00 μB per cell
Energy of formation from the pure elements = 177 meV per atom
Energy = -7.017 eV/atom

Record 2
The following is a DFT calculation (GGA-PBEsol) of a geometry-optimized ZrHgRh2 structure.

The structure in CIF format:
```
data_ZrHgRh2
_cell_length_a 3.2936
_cell_length_b 3.3058
_cell_length_c 6.1335
_cell_angle_alpha 90.00
_cell_angle_beta 90.00
_cell_angle_gamma 90.00
_space_group_name_H-M_alt 'P m m m'
_space_group_IT_number 47
loop_
_space_group_symop_operation_xyz
'x,y,z'
'-x,-y,-z'
'-x,-y,z'
'x,y,-z'
'x,-y,-z'
'-x,y,z'
'-x,y,-z'
'x,-y,z'
loop_
_atom_site_label
_atom_site_fract_x
_atom_site_fract_y
_atom_site_fract_z
Zr1 0.0000 0.0000 0.0000
Hg1 0.0000 0.0000 0.5000
Rh1 0.5000 0.5000 0.2384
```

Total moment = 0.00 μB per cell
Energy of formation from the pure elements = -531 meV per atom
Energy = -7.014 eV/atom

Record 3
The following is a DFT calculation (GGA-PBEsol) of a geometry-optimized Hg3Ru structure.

The structure in CIF format:
```
data_Hg3Ru
_cell_length_a 2.9689
_cell_length_b 2.9689
_cell_length_c 8.7878
_cell_angle_alpha 90.00
_cell_angle_beta 90.00
_cell_angle_gamma 90.00
_space_group_name_H-M_alt 'P 4/m m m'
_space_group_IT_number 123
_space_group_name_Hall '-P 4 2'
loop_
_atom_site_label
_atom_site_fract_x
_atom_site_fract_y
_atom_site_fract_z
Hg1 0.0000 0.0000 0.0000
Hg2 0.5000 0.5000 0.2841
Ru1 0.0000 0.0000 0.5000
```

Total moment = 1.20 μB per cell
Energy of formation from the pure elements = 422 meV per atom
Energy = -2.546 eV/atom

Record 4
The following is a DFT calculation (GGA-PBEsol) of a geometry-optimized HgSbRu2 structure.

The structure in CIF format:
```
data_HgSbRu2
_cell_length_a 3.1566
_cell_length_b 3.1566
_cell_length_c 6.5884
_cell_angle_alpha 90.00
_cell_angle_beta 90.00
_cell_angle_gamma 90.00
_space_group_name_H-M_alt 'P 4/m m m'
_space_group_IT_number 123
_space_group_name_Hall '-P 4 2'
loop_
_atom_site_label
_atom_site_fract_x
_atom_site_fract_y
_atom_site_fract_z
Hg1 0.0000 0.0000 0.0000
Sb1 0.0000 0.0000 0.5000
Ru1 0.5000 0.5000 0.2729
```

Total moment = 0.00 μB per cell
Raw formation energy = 0.2232 eV/atom
Energy = -6.144 eV/atom

Record 5
The following is a DFT calculation (GGA-PBEsol) of a geometry-optimized HgSbRu structure.

The structure in CIF format:
```
data_HgSbRu
_cell_length_a 6.4110
_cell_length_b 6.4110
_cell_length_c 6.4110
_cell_angle_alpha 90.00
_cell_angle_beta 90.00
_cell_angle_gamma 90.00
_space_group_name_H-M_alt 'F -4 3 m'
_space_group_IT_number 216
_space_group_name_Hall 'F -4 2 3'
loop_
_atom_site_label
_atom_site_fract_x
_atom_site_fract_y
_atom_site_fract_z
Hg1 0.0000 0.0000 0.0000
Sb1 0.2500 0.2500 0.7500
Ru1 0.2500 0.2500 0.2500
```

Total moment = 0.01 μB per cell
Raw formation energy = 0.9808 eV/atom
Energy = -4.118 eV/atom

Record 6
The following is a DFT calculation (GGA-PBEsol) of a geometry-optimized HgSb2RuSe structure.

The structure in CIF format:
```
data_HgSb2RuSe
_cell_length_a 5.3537
_cell_length_b 5.3537
_cell_length_c 5.0531
_cell_angle_alpha 90.00
_cell_angle_beta 90.00
_cell_angle_gamma 90.00
_space_group_name_H-M_alt 'P 4/m m m'
_space_group_IT_number 123
_space_group_name_Hall '-P 4 2'
loop_
_atom_site_label
_atom_site_fract_x
_atom_site_fract_y
_atom_site_fract_z
Hg1 0.0000 0.0000 0.0000
Sb1 0.0000 0.5000 0.0000
Ru1 0.0000 0.0000 0.5000
Se1 0.5000 0.5000 0.5000
```

Total moment = 1.98 μB per cell
Raw formation energy = 1.4815 eV/atom
Energy = -3.259 eV/atom

Record 7
The following is a DFT calculation (GGA-PBEsol) of a geometry-optimized Sc2HgRu structure.

The structure in CIF format:
```
data_Sc2HgRu
_cell_length_a 3.2271
_cell_length_b 3.2271
_cell_length_c 7.0423
_cell_angle_alpha 90.00
_cell_angle_beta 90.00
_cell_angle_gamma 90.00
_space_group_name_H-M_alt 'P 4/m m m'
_space_group_IT_number 123
_space_group_name_Hall '-P 4 2'
loop_
_atom_site_label
_atom_site_fract_x
_atom_site_fract_y
_atom_site_fract_z
Sc1 0.0000 0.0000 0.2158
Hg1 0.5000 0.5000 0.5000
Ru1 0.5000 0.5000 0.0000
```

Total moment = 0.00 μB per cell
Energy of formation from the pure elements = -598 meV per atom
Energy = -6.585 eV/atom

Record 8
The following is a DFT calculation (GGA-PBEsol) of a geometry-optimized Sc2HgRu structure.

The structure in CIF format:
```
data_Sc2HgRu
_cell_length_a 3.5856
_cell_length_b 3.5856
_cell_length_c 5.9267
_cell_angle_alpha 90.00
_cell_angle_beta 90.00
_cell_angle_gamma 90.00
_space_group_name_H-M_alt 'P 4 m m'
_space_group_IT_number 99
loop_
_space_group_symop_operation_xyz
'x,y,z'
'-y,x,z'
'-x,-y,z'
'y,-x,z'
'-x,y,z'
'y,x,z'
'x,-y,z'
'-y,-x,z'
loop_
_atom_site_label
_atom_site_fract_x
_atom_site_fract_y
_atom_site_fract_z
Sc1 0.0000 0.0000 0.0000
Sc2 0.5000 0.5000 0.3108
Hg1 0.0000 0.0000 0.5364
Ru1 0.5000 0.5000 0.8562
```

Total moment = 0.00 μB per cell
Energy of formation from the pure elements = -214 meV per atom
Energy = -6.201 eV/atom

Record 9
The following is a DFT calculation (GGA-PBEsol) of a geometry-optimized ScHgRu2 structure.

The structure in CIF format:
```
data_ScHgRu2
_cell_length_a 6.3941
_cell_length_b 6.3941
_cell_length_c 6.3941
_cell_angle_alpha 90.00
_cell_angle_beta 90.00
_cell_angle_gamma 90.00
_space_group_name_H-M_alt 'F -4 3 m'
_space_group_IT_number 216
_space_group_name_Hall 'F -4 2 3'
loop_
_atom_site_label
_atom_site_fract_x
_atom_site_fract_y
_atom_site_fract_z
Sc1 0.0000 0.0000 0.0000
Hg1 0.2500 0.2500 0.2500
Ru1 0.0000 0.0000 0.5000
Ru2 0.2500 0.2500 0.7500
```

Total moment = 5.77 μB per cell
Energy of formation from the pure elements = 148 meV per atom
Energy = -6.732 eV/atom

Record 10
The following is a DFT calculation (GGA-PBEsol) of a geometry-optimized Sc2HgRu structure.

The structure in CIF format:
```
data_Sc2HgRu
_cell_length_a 4.0541
_cell_length_b 4.0541
_cell_length_c 8.7471
_cell_angle_alpha 90.00
_cell_angle_beta 90.00
_cell_angle_gamma 90.00
_space_group_name_H-M_alt 'I -4 m 2'
_space_group_IT_number 119
_space_group_name_Hall 'I -4 -2'
loop_
_atom_site_label
_atom_site_fract_x
_atom_site_fract_y
_atom_site_fract_z
Sc1 0.0000 0.0000 0.0000
Sc2 0.0000 0.5000 0.2500
Hg1 0.0000 0.0000 0.5000
Ru1 0.0000 0.5000 0.7500
```

Total moment = 0.00 μB per cell
Energy of formation from the pure elements = -298 meV per atom
Energy = -6.286 eV/atom

Record 11
The following is a DFT calculation (GGA-PBEsol) of a geometry-optimized ScHgRu2 structure.

The structure in CIF format:
```
data_ScHgRu2
_cell_length_a 3.2471
_cell_length_b 3.2471
_cell_length_c 6.1224
_cell_angle_alpha 90.00
_cell_angle_beta 90.00
_cell_angle_gamma 90.00
_space_group_name_H-M_alt 'P 4/m m m'
_space_group_IT_number 123
_space_group_name_Hall '-P 4 2'
loop_
_atom_site_label
_atom_site_fract_x
_atom_site_fract_y
_atom_site_fract_z
Sc1 0.0000 0.0000 0.0000
Hg1 0.0000 0.0000 0.5000
Ru1 0.5000 0.5000 0.2368
```

Total moment = 0.01 μB per cell
Energy of formation from the pure elements = 107 meV per atom
Energy = -6.773 eV/atom

Record 12
The following is a DFT calculation (GGA-PBEsol) of a geometry-optimized ScHgRu2 structure.

The structure in CIF format:
```
data_ScHgRu2
_cell_length_a 5.6366
_cell_length_b 9.0259
_cell_length_c 2.8476
_cell_angle_alpha 90.00
_cell_angle_beta 116.88
_cell_angle_gamma 90.00
_space_group_name_H-M_alt 'C 1 2/m 1'
_space_group_IT_number 12
loop_
_space_group_symop_operation_xyz
'x,y,z'
'-x,-y,-z'
'-x,y,-z'
'x,-y,z'
'x+1/2,y+1/2,z'
'-x+1/2,-y+1/2,-z'
'-x+1/2,y+1/2,-z'
'x+1/2,-y+1/2,z'
loop_
_atom_site_label
_atom_site_fract_x
_atom_site_fract_y
_atom_site_fract_z
Sc1 0.0000 0.0000 0.0000
Hg1 0.0000 0.5000 0.0000
Ru1 0.2500 0.2500 0.5000
```

Total moment = 0.00 μB per cell
Energy of formation from the pure elements = 136 meV per atom
Energy = -6.743 eV/atom

Record 13
The following is a DFT calculation (GGA-PBEsol) of a geometry-optimized HgRu2Se structure.

The structure in CIF format:
```
data_HgRu2Se
_cell_length_a 2.9930
_cell_length_b 2.9930
_cell_length_c 6.8585
_cell_angle_alpha 90.00
_cell_angle_beta 90.00
_cell_angle_gamma 90.00
_space_group_name_H-M_alt 'P 4/m m m'
_space_group_IT_number 123
_space_group_name_Hall '-P 4 2'
loop_
_atom_site_label
_atom_site_fract_x
_atom_site_fract_y
_atom_site_fract_z
Hg1 0.0000 0.0000 0.0000
Ru1 0.5000 0.5000 0.2903
Se1 0.0000 0.0000 0.5000
```

Total moment = 0.00 μB per cell
Raw formation energy = 0.3081 eV/atom
Energy = -5.882 eV/atom

Record 14
The following is a DFT calculation (GGA-PBEsol) of a geometry-optimized HgRuSe4 structure.

The structure in CIF format:
```
data_HgRuSe4
_cell_length_a 7.8559
_cell_length_b 7.8559
_cell_length_c 7.8559
_cell_angle_alpha 90.00
_cell_angle_beta 90.00
_cell_angle_gamma 90.00
_space_group_name_H-M_alt 'F -4 3 m'
_space_group_IT_number 216
_space_group_name_Hall 'F -4 2 3'
loop_
_atom_site_label
_atom_site_fract_x
_atom_site_fract_y
_atom_site_fract_z
Hg1 0.0000 0.0000 0.0000
Ru1 0.2500 0.2500 0.2500
Se1 0.1247 0.1247 0.6247
```

Total moment = 7.90 μB per cell
Raw formation energy = 0.9573 eV/atom
Energy = -3.399 eV/atom

Record 15
The following is a DFT calculation (GGA-PBEsol) of a geometry-optimized Hg2RuSe structure.

The structure in CIF format:
```
data_Hg2RuSe
_cell_length_a 3.6310
_cell_length_b 3.6310
_cell_length_c 5.6299
_cell_angle_alpha 90.00
_cell_angle_beta 90.00
_cell_angle_gamma 90.00
_space_group_name_H-M_alt 'P 4/m m m'
_space_group_IT_number 123
_space_group_name_Hall '-P 4 2'
loop_
_atom_site_label
_atom_site_fract_x
_atom_site_fract_y
_atom_site_fract_z
Hg1 0.0000 0.0000 0.2426
Ru1 0.5000 0.5000 0.0000
Se1 0.5000 0.5000 0.5000
```

Total moment = 0.87 μB per cell
Raw formation energy = 0.5308 eV/atom
Energy = -3.258 eV/atom